First-principles (GGA-PBE) data for crystalline Hg2PdC2 at its relaxed geometry, as listed in Alexandria via LeMat-Bulk.

Unit cell a=5.307 b=5.307 c=6.180 alpha=90.00 beta=90.00 gamma=90.00
Element x y z (fractional)
Hg 0.190 0.310 0.000
Hg 0.310 0.810 0.000
Hg 0.690 0.190 0.000
Hg 0.810 0.690 0.000
Pd 0.000 0.000 0.500
Pd 0.500 0.500 0.500
C 0.087 0.587 0.500
C 0.413 0.087 0.500
C 0.587 0.913 0.500
C 0.913 0.413 0.500

Results
Its total moment is 0.00 μB per cell. Its space group is P4/mbm. The formation energy is 0.880 eV/atom. Its density is 10.144 g cm⁻³. The value obtained for the polymorph energy (0 for the lowest one) is 0 meV per atom. The value obtained for the calculated volume is 17.40 Å³ per atom.

***

First-principles (GGA-PBE) data for crystalline TbPuThCd at its relaxed geometry, as listed in Alexandria via LeMat-Bulk.

Unit cell a=5.419 b=5.419 c=5.419 alpha=60.00 beta=60.00 gamma=60.00
Element x y z (fractional)
Tb 0.000 0.000 0.000
Pu 0.250 0.250 0.250
Th 0.500 0.500 0.500
Cd 0.750 0.750 0.750

Results
Its total moment is 6.65 μB per cell. Its space group is F-43m. The formation energy is 0.093 eV/atom. Its density is 11.029 g cm⁻³. The value obtained for the calculated volume is 28.13 Å³ per atom.

***

First-principles (GGA-PBE) data for crystalline Sm2YCo2 at its relaxed geometry, as listed in Alexandria via LeMat-Bulk.

Unit cell a=5.958 b=5.958 c=5.628 alpha=103.51 beta=103.51 gamma=37.03
Element x y z (fractional)
Sm 0.146 0.146 0.083
Sm 0.854 0.854 0.917
Y 0.500 0.500 0.500
Co 0.222 0.222 0.600
Co 0.778 0.778 0.400

Results
Its total moment is 0.00 μB per cell. Its space group is C2/m. The formation energy is 0.000 eV/atom. Its density is 7.228 g cm⁻³. The value obtained for the polymorph energy (0 for the lowest one) is 76 meV per atom. The value obtained for the calculated volume is 23.32 Å³ per atom.

***

First-principles (GGA-PBE) data for crystalline ZnIn3Hg at its relaxed geometry, as listed in Alexandria via LeMat-Bulk.

Unit cell a=5.602 b=5.602 c=5.602 alpha=90.00 beta=90.00 gamma=90.00
Element x y z (fractional)
Zn 0.000 0.000 0.000
In 0.000 0.500 0.500
In 0.500 0.000 0.500
In 0.500 0.500 0.000
Hg 0.500 0.500 0.500

Results
Its total moment is 0.00 μB per cell. Its space group is Pm-3m. The formation energy is 0.466 eV/atom. Its density is 5.767 g cm⁻³. The value obtained for the polymorph energy (0 for the lowest one) is 417 meV per atom. The value obtained for the calculated volume is 35.16 Å³ per atom.